No. 1
Cs3Ac2SmO6: relaxed, PBE.

Lattice parameters (Å, degrees): 6.6292 6.6292 7.3244 98.62 98.62 120.04
Positions (direct):
Ac  0.6667  0.3333  0.0000
Ac  0.3333  0.6667  0.0000
O  0.2610  0.2610  0.8276
O  0.0572  0.3754  0.1715
O  0.6246  0.9428  0.8285
O  0.7390  0.7390  0.1724
O  0.3754  0.0572  0.1715
O  0.9428  0.6246  0.8285
Sm  0.0000  0.0000  0.0000
Cs  0.5000  0.5000  0.5000
Cs  0.8359  0.1641  0.5000
Cs  0.1641  0.8359  0.5000

The uncorrected formation energy comes out at -2.51 eV/atom. The value obtained for the magnetization is 0.00 μB/cell. For the density of states at the Fermi level, the calculation gives 0.00 states/eV/atom. The space group is C2/m.



No. 2
Gd2NiPb: relaxed, PBE.

Lattice parameters (Å, degrees): 4.0747 4.9208 4.9208 90.00 90.00 90.00
Positions (direct):
Pb  0.5000  0.5000  0.5000
Gd  0.0000  0.0000  0.5000
Gd  0.0000  0.5000  0.0000
Ni  0.5000  0.0000  0.0000

For the energy relative to the lowest polymorph listed for this composition, the calculation gives 0.129 eV/atom. The value obtained for the magnetization is 14.35 μB/cell. For the density of states at the Fermi level, the calculation gives 0.84 states/eV/atom. As for the formation energy: -27 kJ per mole of atoms. The space group is P4/mmm.



No. 3
CaHSe2N: relaxed, PBE.

Lattice parameters (Å, degrees): 3.9032 3.9032 5.6137 90.00 90.00 90.00
Positions (direct):
Ca  0.5000  0.5000  0.5000
Se  0.0000  0.5000  0.0000
Se  0.5000  0.0000  0.0000
H  0.0000  0.0000  0.0000
N  0.0000  0.0000  0.5000

For the energy relative to the lowest polymorph listed for this composition, the calculation gives 0.000 eV/atom. The value obtained for the magnetization is 1.85 μB/cell. For the density of states at the Fermi level, the calculation gives 0.48 states/eV/atom. The space group is P4/mmm.